# KCa2InSn PBE-GGA optimized geometry
data_KCa2InSn
_cell_length_a 6.035
_cell_length_b 5.717
_cell_length_c 6.035
_cell_angle_alpha 90.00
_cell_angle_beta 90.00
_cell_angle_gamma 90.00
_space_group_name_H-M_alt 'P 1'
_space_group_IT_number 1
_space_group_name_Hall 'P 1'
loop_
_atom_site_label
_atom_site_type_symbol
_atom_site_fract_x
_atom_site_fract_y
_atom_site_fract_z
_atom_site_occupancy
Ca1 Ca 0.500 0.000 0.000 1
Ca2 Ca 0.000 0.000 0.500 1
K1 K 0.000 0.000 0.000 1
In1 In 0.000 0.500 0.000 1
Sn1 Sn 0.500 0.500 0.500 1
# Space-group type = No. 123
# Energy relative to the elements = 0.785 eV per atom
# Raw total energy = -7.92 eV per formula unit
# Fermi-level density of states = 5.9 states/eV/cell
# Crystal system = tetragonal
# Magnetic moment = 0.0 μB per cell